[1]
The following is a PBE-GGA calculation of a relaxed structure of Mg4Sc5Cd, from the Alexandria database.

Unit cell a=3.5887 b=3.5887 c=17.8427 alpha=90.00 beta=90.00 gamma=90.00
Fractional positions:
Cd 0.0000 0.0000 0.0000
Sc 0.5000 0.5000 0.7021
Mg 0.0000 0.0000 0.8012
Sc 0.5000 0.5000 0.0978
Mg 0.0000 0.0000 0.6010
Sc 0.5000 0.5000 0.2979
Sc 0.5000 0.5000 0.5000
Mg 0.0000 0.0000 0.1988
Mg 0.0000 0.0000 0.3990
Sc 0.5000 0.5000 0.9022

Computed properties:
- Formation energy from the elements: -92 meV/atom
- Final energy: -3.9867 eV/atom
- Magnetic moment: 0.00 μB per formula unit



[2]
The following is a PBE-GGA calculation of a relaxed structure of MgSc4Cd3, from the Alexandria database.

Unit cell a=3.5607 b=3.5607 c=14.1108 alpha=90.00 beta=90.00 gamma=90.00
Fractional positions:
Sc 0.0000 0.0000 0.8732
Sc 0.0000 0.0000 0.1268
Cd 0.5000 0.5000 0.2491
Mg 0.5000 0.5000 0.0000
Cd 0.5000 0.5000 0.5000
Sc 0.0000 0.0000 0.3757
Cd 0.5000 0.5000 0.7509
Sc 0.0000 0.0000 0.6243

Computed properties:
- Formation energy from the elements: -229 meV/atom
- Final energy: -3.9373 eV/atom
- Magnetic moment: 0.00 μB per formula unit



[3]
The following is a PBE-GGA calculation of a relaxed structure of MgSc2Cd, from the Alexandria database.

Unit cell a=8.0797 b=8.0797 c=6.4640 alpha=51.32 beta=51.32 gamma=90.00
Each line ends with the local moment (μB).
Fractional positions:
Sc 0.1095 0.6250 0.2500  0.38
Cd 0.7500 0.2500 0.5000  0.02
Sc 0.3750 0.3595 0.7500  0.37
Mg 0.5000 0.5000 0.0000  0.01
Sc 0.6405 0.1250 0.2500  0.37
Mg 0.2500 0.7500 0.5000  0.01
Sc 0.8750 0.8905 0.7500  0.37
Cd 0.0000 0.0000 0.0000  0.02

Computed properties:
- Formation energy from the elements: 248 meV/atom
- Final energy: -3.5457 eV/atom
- Magnetic moment: 1.25 μB per formula unit



[4]
The following is a PBE-GGA calculation of a relaxed structure of Mg5Sc4Cd2, from the Alexandria database.

Unit cell a=3.2166 b=7.7702 c=10.2500 alpha=86.36 beta=90.00 gamma=90.00
Each line ends with the local moment (μB).
Fractional positions:
Cd 0.0000 0.0549 0.3621  0.00
Sc 0.5000 0.8475 0.8904  0.01
Mg 0.0000 0.7995 0.1672  0.00
Mg 0.0000 0.4268 0.2935  0.00
Sc 0.5000 0.7143 0.4474  0.05
Sc 0.5000 0.2857 0.5526  0.05
Mg 0.0000 0.5000 0.0000  0.00
Sc 0.5000 0.1525 0.1096  0.01
Mg 0.0000 0.5732 0.7065  0.00
Cd 0.0000 0.9451 0.6379  0.00
Mg 0.0000 0.2005 0.8328  0.00

Computed properties:
- Formation energy from the elements: -65 meV/atom
- Final energy: -3.2590 eV/atom
- Magnetic moment: 0.21 μB per formula unit



[5]
The following is a PBE-GGA calculation of a relaxed structure of MgSc2Cd2, from the Alexandria database.

Unit cell a=4.2752 b=4.2752 c=7.4966 alpha=73.43 beta=73.43 gamma=90.00
Each line ends with the local moment (μB).
Fractional positions:
Mg 0.0000 0.0000 0.0000  0.00
Sc 0.2500 0.7500 0.5000  0.35
Cd 0.5983 0.5983 0.8034  0.00
Cd 0.4017 0.4017 0.1966  0.00
Sc 0.7500 0.2500 0.5000  0.35

Computed properties:
- Formation energy from the elements: 97 meV/atom
- Final energy: -3.1202 eV/atom
- Magnetic moment: 0.95 μB per formula unit



[6]
The following is a PBE-GGA calculation of a relaxed structure of MgSc4Cd, from the Alexandria database.

Unit cell a=4.8337 b=4.8391 c=8.5639 alpha=73.61 beta=73.61 gamma=60.04
Fractional positions:
Mg 0.5000 0.5000 0.5000
Sc 0.6263 0.6261 0.1212
Cd 0.0000 0.0000 0.0000
Sc 0.1216 0.1213 0.6355
Sc 0.3737 0.3739 0.8788
Sc 0.8784 0.8787 0.3645

Computed properties:
- Formation energy from the elements: 347 meV/atom
- Final energy: -4.2920 eV/atom
- Magnetic moment: 0.00 μB per formula unit



[7]
The following is a PBE-GGA calculation of a relaxed structure of Mg4Sc3Cd4, from the Alexandria database.

Unit cell a=3.4017 b=8.6027 c=9.8290 alpha=115.95 beta=99.96 gamma=90.00
Fractional positions:
Cd 0.5000 0.2133 0.0000
Mg 0.3418 0.1545 0.6836
Cd 0.2606 0.7606 0.5213
Sc 0.0000 0.5000 0.0000
Mg 0.6582 0.8455 0.3164
Sc 0.0995 0.0995 0.1989
Mg 0.6582 0.4710 0.3164
Cd 0.5000 0.7867 0.0000
Sc 0.9005 0.9005 0.8011
Cd 0.7394 0.2394 0.4787
Mg 0.3418 0.5290 0.6836

Computed properties:
- Formation energy from the elements: -124 meV/atom
- Final energy: -2.7631 eV/atom
- Magnetic moment: 0.00 μB per formula unit



[8]
The following is a PBE-GGA calculation of a relaxed structure of MgSc2Cd, from the Alexandria database.

Unit cell a=4.8243 b=3.2469 c=6.0291 alpha=77.40 beta=90.00 gamma=90.00
Fractional positions:
Cd 0.0000 0.6782 0.4867
Mg 0.5000 0.5714 0.7607
Sc 0.5000 0.2913 0.2774
Sc 0.0000 0.9591 0.9751

Computed properties:
- Formation energy from the elements: -113 meV/atom
- Final energy: -3.9065 eV/atom
- Magnetic moment: 0.00 μB per formula unit



[9]
The following is a PBE-GGA calculation of a relaxed structure of MgSc2Cd, from the Alexandria database.

Unit cell a=5.0457 b=5.0457 c=5.0457 alpha=60.00 beta=60.00 gamma=60.00
Fractional positions:
Cd 0.5000 0.5000 0.5000
Sc 0.0000 0.0000 0.0000
Sc 0.2500 0.2500 0.2500
Mg 0.7500 0.7500 0.7500

Computed properties:
- Formation energy from the elements: 0 meV/atom
- Final energy: -3.7929 eV/atom
- Magnetic moment: 0.00 μB per formula unit



[10]
The following is a PBE-GGA calculation of a relaxed structure of Mg3Sc2Cd3, from the Alexandria database.

Unit cell a=4.6718 b=4.4239 c=8.4975 alpha=90.00 beta=90.00 gamma=90.00
Fractional positions:
Cd 0.5000 0.0000 0.5000
Mg 0.5000 0.5000 0.7444
Sc 0.0000 0.0000 0.7479
Mg 0.5000 0.5000 0.2556
Cd 0.0000 0.5000 0.5000
Cd 0.0000 0.5000 0.0000
Sc 0.0000 0.0000 0.2521
Mg 0.5000 0.0000 0.0000

Computed properties:
- Formation energy from the elements: -181 meV/atom
- Final energy: -2.7053 eV/atom
- Magnetic moment: 0.00 μB per formula unit